VASP calculation (PBE) on an optimized crystal structure of TmTaP2.

Output
- Total magnetization: 0.000 μB per cell
- Offset from the most stable computed form: 0.000 eV/atom

Lattice parameters (Å, degrees): 3.6380 3.6380 19.3821 90.00 90.00 120.00
With the nearest neighbours (Å) after each atom.
Space group R3m (No. 160, hexagonal axes)
Asymmetric unit:
1 Tm 0.0000 0.0000 0.0000 (multiplicity 3)  6 P 2.68-2.81
2 Ta 0.0000 0.0000 0.8247 (multiplicity 3)  6 P 2.53-2.60
3 P 0.0000 0.0000 0.4191 (multiplicity 3)  3 Ta 2.53, 3 Tm 2.68
4 P 0.0000 0.0000 0.5701 (multiplicity 3)  3 Ta 2.60, 3 Tm 2.81